Entry one
LaY2Mo after structural relaxation, computed with PBE.

Lattice parameters (Å, degrees): 3.2973 4.7785 6.7750 90.00 90.00 90.00
Positions (direct):
La1 0.0000 0.0000 0.0000
Y1 0.5000 0.5000 0.2793
Y2 0.5000 0.5000 0.7207
Mo1 0.0000 0.0000 0.5000

Computed properties:
N(E_F)	5.217	states/eV/cell
SG	Pmmm (47)
calculated volume	107	Å³ per cell

Entry two
LaY2Mo after structural relaxation, computed with PBE.

Lattice parameters (Å, degrees): 3.6452 5.5290 10.8977 90.00 90.00 90.00
Positions (direct):
La1 0.0000 0.0000 0.0000
La2 0.5000 0.5000 0.5000
Y1 0.0000 0.0000 0.4053
Y2 0.0000 0.5000 0.2001
Y3 0.5000 0.0000 0.7001
Y4 0.5000 0.5000 0.9053
Mo1 0.0000 0.5000 0.6844
Mo2 0.5000 0.0000 0.1844

Computed properties:
N(E_F)	8.016	states/eV/cell
SG	Imm2 (44)
calculated volume	220	Å³ per cell

Entry three
LaY2Mo after structural relaxation, computed with PBE.

Lattice parameters (Å, degrees): 5.1829 5.1829 7.8651 90.00 90.00 90.00
Positions (direct):
La1 0.0000 0.0000 0.0000
La2 0.5000 0.5000 0.5000
Y1 0.0000 0.0000 0.5000
Y2 0.0000 0.5000 0.2500
Y3 0.5000 0.0000 0.7500
Y4 0.5000 0.5000 0.0000
Mo1 0.0000 0.5000 0.7500
Mo2 0.5000 0.0000 0.2500

Computed properties:
N(E_F)	10.493	states/eV/cell
SG	I-4m2 (119)
calculated volume	211	Å³ per cell

Short version: entry two is the most stable of them.

Entry one
LaZnMo3 after structural relaxation, computed with PBE.

Lattice parameters (Å, degrees): 4.7562 4.7562 4.7562 90.00 90.00 90.00
Positions (direct):
La1 0.0000 0.0000 0.0000
Zn1 0.5000 0.5000 0.5000
Mo1 0.0000 0.5000 0.5000
Mo2 0.5000 0.0000 0.5000
Mo3 0.5000 0.5000 0.0000

Computed properties:
N(E_F)	7.355	states/eV/cell
SG	Pm-3m (221)
calculated volume	108	Å³ per cell

Entry two
LaZnMo3 after structural relaxation, computed with PBE.

Lattice parameters (Å, degrees): 4.7935 4.7935 4.7935 90.00 90.00 90.00
Positions (direct):
La1 0.0000 0.0000 0.0000
Zn1 0.5000 0.5000 0.5000
Mo1 0.0000 0.0000 0.5000
Mo2 0.0000 0.5000 0.0000
Mo3 0.5000 0.0000 0.0000

Computed properties:
N(E_F)	9.300	states/eV/cell
SG	Pm-3m (221)
calculated volume	110	Å³ per cell

Short version: entry one is the most stable of them.

Entry one
LaZn3Mo after structural relaxation, computed with PBE.

Lattice parameters (Å, degrees): 4.8768 4.8768 4.8768 90.00 90.00 90.00
Positions (direct):
La1 0.0000 0.0000 0.0000
Zn1 0.0000 0.5000 0.5000
Zn2 0.5000 0.0000 0.5000
Zn3 0.5000 0.5000 0.0000
Mo1 0.5000 0.5000 0.5000

Computed properties:
N(E_F)	7.194	states/eV/cell
SG	Pm-3m (221)
calculated volume	116	Å³ per cell

Entry two
LaZn3Mo after structural relaxation, computed with PBE.

Lattice parameters (Å, degrees): 5.5373 5.5373 5.5373 90.00 90.00 90.00
Positions (direct):
La1 0.0000 0.0000 0.0000
Zn1 0.0000 0.0000 0.5000
Zn2 0.0000 0.5000 0.0000
Zn3 0.5000 0.0000 0.0000
Mo1 0.5000 0.5000 0.5000

Computed properties:
N(E_F)	4.557	states/eV/cell
SG	Pm-3m (221)
calculated volume	170	Å³ per cell

Short version: entry one is the most stable of them.

Entry one
LaZr3Mo after structural relaxation, computed with PBE.

Lattice parameters (Å, degrees): 5.0487 5.0487 5.0487 90.00 90.00 90.00
Positions (direct):
La1 0.0000 0.0000 0.0000
Zr1 0.0000 0.0000 0.5000
Zr2 0.0000 0.5000 0.0000
Zr3 0.5000 0.0000 0.0000
Mo1 0.5000 0.5000 0.5000

Computed properties:
N(E_F)	8.566	states/eV/cell
SG	Pm-3m (221)
calculated volume	129	Å³ per cell

Entry two
LaZr3Mo after structural relaxation, computed with PBE.

Lattice parameters (Å, degrees): 5.1681 5.1681 5.1681 90.00 90.00 90.00
Positions (direct):
La1 0.0000 0.0000 0.0000
Zr1 0.0000 0.5000 0.5000
Zr2 0.5000 0.0000 0.5000
Zr3 0.5000 0.5000 0.0000
Mo1 0.5000 0.5000 0.5000

Computed properties:
N(E_F)	8.245	states/eV/cell
SG	Pm-3m (221)
calculated volume	138	Å³ per cell

Short version: entry two is the most stable of them.

Entry one
LaZrMo2 after structural relaxation, computed with PBE.

Lattice parameters (Å, degrees): 3.3754 4.5881 5.1901 90.00 90.00 90.00
Positions (direct):
La1 0.0000 0.0000 0.0000
Zr1 0.5000 0.0000 0.5000
Mo1 0.0000 0.5000 0.5000
Mo2 0.5000 0.5000 0.0000

Computed properties:
N(E_F)	4.270	states/eV/cell
SG	Pmmm (47)
calculated volume	80	Å³ per cell

Entry two
LaZrMo2 after structural relaxation, computed with PBE.

Lattice parameters (Å, degrees): 3.2433 3.2433 8.3306 90.00 90.00 90.00
Positions (direct):
La1 0.0000 0.0000 0.0000
Zr1 0.5000 0.5000 0.6534
Mo1 0.0000 0.0000 0.4401
Mo2 0.5000 0.5000 0.2746

Computed properties:
N(E_F)	3.611	states/eV/cell
SG	P4mm (99)
calculated volume	88	Å³ per cell

Short version: entry two is the most stable of them.

Entry one
LaZrMo after structural relaxation, computed with PBE.

Lattice parameters (Å, degrees): 6.7694 6.7694 6.7694 90.00 90.00 90.00
Positions (direct):
La1 0.0000 0.0000 0.0000
La2 0.0000 0.5000 0.5000
La3 0.5000 0.0000 0.5000
La4 0.5000 0.5000 0.0000
Zr1 0.0000 0.0000 0.5000
Zr2 0.0000 0.5000 0.0000
Zr3 0.5000 0.0000 0.0000
Zr4 0.5000 0.5000 0.5000
Mo1 0.2500 0.2500 0.2500
Mo2 0.2500 0.7500 0.7500
Mo3 0.7500 0.2500 0.7500
Mo4 0.7500 0.7500 0.2500

Computed properties:
N(E_F)	13.675	states/eV/cell
SG	F-43m (216)
calculated volume	310	Å³ per cell

Entry two
LaZrMo after structural relaxation, computed with PBE.

Lattice parameters (Å, degrees): 6.6388 6.6388 6.6388 90.00 90.00 90.00
Positions (direct):
La1 0.0000 0.0000 0.0000
La2 0.0000 0.5000 0.5000
La3 0.5000 0.0000 0.5000
La4 0.5000 0.5000 0.0000
Zr1 0.2500 0.2500 0.2500
Zr2 0.2500 0.7500 0.7500
Zr3 0.7500 0.2500 0.7500
Zr4 0.7500 0.7500 0.2500
Mo1 0.2500 0.2500 0.7500
Mo2 0.2500 0.7500 0.2500
Mo3 0.7500 0.2500 0.2500
Mo4 0.7500 0.7500 0.7500

Computed properties:
N(E_F)	24.406	states/eV/cell
SG	F-43m (216)
calculated volume	293	Å³ per cell

Entry three
LaZrMo after structural relaxation, computed with PBE.

Lattice parameters (Å, degrees): 3.4878 5.3815 15.0390 90.00 90.00 90.00
Positions (direct):
La1 0.0000 0.0000 0.0000
La2 0.0000 0.5000 0.5000
La3 0.5000 0.0000 0.5000
La4 0.5000 0.5000 0.0000
Zr1 0.0000 0.0000 0.7108
Zr2 0.0000 0.5000 0.2108
Zr3 0.5000 0.0000 0.2108
Zr4 0.5000 0.5000 0.7108
Mo1 0.0000 0.0000 0.3448
Mo2 0.0000 0.5000 0.8448
Mo3 0.5000 0.0000 0.8448
Mo4 0.5000 0.5000 0.3448

Computed properties:
N(E_F)	20.256	states/eV/cell
SG	Fmm2 (42)
calculated volume	282	Å³ per cell

Entry four
LaZrMo after structural relaxation, computed with PBE.

Lattice parameters (Å, degrees): 2.9948 5.1860 8.6523 90.00 90.00 90.00
Positions (direct):
La1 0.0000 0.0000 0.0000
La2 0.5000 0.5000 0.5000
Zr1 0.0000 0.0000 0.3363
Zr2 0.5000 0.5000 0.8363
Mo1 0.0000 0.0000 0.6721
Mo2 0.5000 0.5000 0.1721

Computed properties:
N(E_F)	6.479	states/eV/cell
SG	Imm2 (44)
calculated volume	134	Å³ per cell

Short version: entry three is the most stable of them.

Entry one
LaZrMo after structural relaxation, computed with PBE.

Lattice parameters (Å, degrees): 4.7980 4.7980 3.3676 90.00 90.00 120.00
Positions (direct):
La1 0.0000 0.0000 0.0000
Zr1 0.3333 0.6667 0.5798
Mo1 0.6667 0.3333 0.2882

Computed properties:
N(E_F)	3.649	states/eV/cell
SG	P3m1 (156)
calculated volume	67	Å³ per cell

Entry two
LaZrMo after structural relaxation, computed with PBE.

Lattice parameters (Å, degrees): 3.5010 3.5010 11.9515 90.00 90.00 90.00
Positions (direct):
La1 0.0000 0.0000 0.0000
La2 0.5000 0.5000 0.5000
Zr1 0.0000 0.0000 0.2826
Zr2 0.5000 0.5000 0.7826
Mo1 0.0000 0.0000 0.6701
Mo2 0.5000 0.5000 0.1701

Computed properties:
N(E_F)	7.479	states/eV/cell
SG	I4mm (107)
calculated volume	146	Å³ per cell

Short version: entry two is the most stable of them.

Entry one
La5N4 after structural relaxation, computed with PBE.

Lattice parameters (Å, degrees): 8.0895 8.0895 8.0895 92.30 92.30 156.89
Positions (direct):
La1 0.0000 0.0000 0.0000
La2 0.0000 0.2521 0.2521
La3 0.0000 0.7479 0.7479
La4 0.2521 0.0000 0.2521
La5 0.7479 0.0000 0.7479
N1 0.3644 0.3644 0.7289
N2 0.3644 0.6356 0.0000
N3 0.6356 0.3644 0.0000
N4 0.6356 0.6356 0.2711

Computed properties:
N(E_F)	2.874	states/eV/cell
SG	I4/mmm (139)
calculated volume	204	Å³ per cell

Entry two
La5N4 after structural relaxation, computed with PBE.

Lattice parameters (Å, degrees): 7.6502 7.6502 7.6502 94.17 94.17 148.71
Positions (direct):
La1 0.0000 0.0000 0.0000
La2 0.2230 0.3873 0.6103
La3 0.3873 0.7770 0.1643
La4 0.6127 0.2230 0.8357
La5 0.7770 0.6127 0.3897
N1 0.1692 0.1731 0.3423
N2 0.1731 0.8308 0.0038
N3 0.8269 0.1692 0.9962
N4 0.8308 0.8269 0.6577

Computed properties:
N(E_F)	3.514	states/eV/cell
SG	I4/m (87)
calculated volume	224	Å³ per cell

Short version: entry two is the most stable of them.

Entry one
La3N after structural relaxation, computed with PBE.

Lattice parameters (Å, degrees): 6.6930 6.6930 6.0765 90.00 90.00 120.00
Positions (direct):
La1 0.0000 0.3046 0.2500
La2 0.0000 0.6954 0.7500
La3 0.3046 0.0000 0.2500
La4 0.3046 0.3046 0.7500
La5 0.6954 0.0000 0.7500
La6 0.6954 0.6954 0.2500
N1 0.0000 0.0000 0.0000
N2 0.0000 0.0000 0.5000

Computed properties:
N(E_F)	13.005	states/eV/cell
SG	P6_3/mcm (193)
calculated volume	236	Å³ per cell

Entry two
La3N after structural relaxation, computed with PBE.

Lattice parameters (Å, degrees): 3.3621 10.7080 6.3414 90.00 90.00 90.00
Positions (direct):
La1 0.0000 0.0000 0.0000
La2 0.0000 0.1523 0.4676
La3 0.0000 0.8477 0.4676
La4 0.5000 0.3477 0.9676
La5 0.5000 0.5000 0.5000
La6 0.5000 0.6523 0.9676
N1 0.0000 0.5000 0.7872
N2 0.5000 0.0000 0.2872

Computed properties:
N(E_F)	10.831	states/eV/cell
SG	Imm2 (44)
calculated volume	228	Å³ per cell

Short version: entry one is the most stable of them.

Entry one
LaN4 after structural relaxation, computed with PBE.

Lattice parameters (Å, degrees): 4.3343 5.2243 7.0423 78.68 72.11 65.58
Positions (direct):
La1 0.1843 0.2506 0.2503
La2 0.8157 0.7494 0.7497
N1 0.1533 0.7197 0.9816
N2 0.2660 0.7884 0.0899
N3 0.3546 0.7803 0.5172
N4 0.3558 0.2885 0.5905
N5 0.6442 0.7115 0.4095
N6 0.6454 0.2197 0.4828
N7 0.7340 0.2116 0.9101
N8 0.8467 0.2803 0.0184

Computed properties:
N(E_F)	4.206	states/eV/cell
SG	P-1 (2)
calculated volume	138	Å³ per cell

Entry two
LaN4 after structural relaxation, computed with PBE.

Lattice parameters (Å, degrees): 4.9183 4.9183 4.9183 90.00 90.00 90.00
Positions (direct):
La1 0.0000 0.0000 0.0000
N1 0.0000 0.0000 0.5000
N2 0.0000 0.5000 0.0000
N3 0.5000 0.0000 0.0000
N4 0.5000 0.5000 0.5000

Computed properties:
N(E_F)	2.713	states/eV/cell
SG	Pm-3m (221)
calculated volume	119	Å³ per cell

Short version: entry one is the most stable of them.

Entry one
NaLaN2 after structural relaxation, computed with PBE.

Lattice parameters (Å, degrees): 5.3723 5.3723 11.7825 90.00 90.00 90.00
Positions (direct):
Na1 0.0000 0.0000 0.0000
Na2 0.0000 0.5000 0.2500
Na3 0.5000 0.0000 0.7500
Na4 0.5000 0.5000 0.5000
La1 0.0000 0.0000 0.5000
La2 0.0000 0.5000 0.7500
La3 0.5000 0.0000 0.2500
La4 0.5000 0.5000 0.0000
N1 0.2236 0.2500 0.6250
N2 0.2500 0.7236 0.8750
N3 0.2500 0.7764 0.3750
N4 0.2764 0.2500 0.1250
N5 0.7236 0.7500 0.1250
N6 0.7500 0.2236 0.3750
N7 0.7500 0.2764 0.8750
N8 0.7764 0.7500 0.6250

Computed properties:
N(E_F)	12.086	states/eV/cell
SG	I-42d (122)
calculated volume	340	Å³ per cell

Entry two
NaLaN2 after structural relaxation, computed with PBE.

Lattice parameters (Å, degrees): 3.8396 3.8396 20.5009 90.00 90.00 120.00
Positions (direct):
Na1 0.0000 0.0000 0.0000
Na2 0.3333 0.6667 0.6667
Na3 0.6667 0.3333 0.3333
La1 0.0000 0.0000 0.5000
La2 0.3333 0.6667 0.1667
La3 0.6667 0.3333 0.8333
N1 0.0000 0.0000 0.1114
N2 0.0000 0.0000 0.8886
N3 0.3333 0.6667 0.5553
N4 0.3333 0.6667 0.7780
N5 0.6667 0.3333 0.2220
N6 0.6667 0.3333 0.4447

Computed properties:
N(E_F)	3.036	states/eV/cell
SG	R-3m (166)
calculated volume	262	Å³ per cell

Short version: entry two is the most stable of them.

Entry one
NaLaSN2 after structural relaxation, computed with PBE.

Lattice parameters (Å, degrees): 4.3929 4.3929 5.8089 90.00 90.00 90.00
Positions (direct):
Na1 0.0000 0.0000 0.0000
La1 0.5000 0.5000 0.5000
S1 0.5000 0.5000 0.0000
N1 0.0000 0.5000 0.5000
N2 0.5000 0.0000 0.5000

Computed properties:
N(E_F)	3.449	states/eV/cell
SG	P4/mmm (123)
calculated volume	112	Å³ per cell

Entry two
NaLaSN2 after structural relaxation, computed with PBE.

Lattice parameters (Å, degrees): 4.3459 4.3459 4.8024 90.00 90.00 90.00
Positions (direct):
Na1 0.0000 0.0000 0.0000
La1 0.5000 0.5000 0.5000
S1 0.0000 0.0000 0.5000
N1 0.0000 0.5000 0.0000
N2 0.5000 0.0000 0.0000

Computed properties:
N(E_F)	2.804	states/eV/cell
SG	P4/mmm (123)
calculated volume	91	Å³ per cell

Short version: entry one is the most stable of them.

Entry one
NaLa2SbN after structural relaxation, computed with PBE.

Lattice parameters (Å, degrees): 5.0374 5.0374 4.8627 90.00 90.00 90.00
Positions (direct):
Na1 0.0000 0.0000 0.0000
La1 0.0000 0.5000 0.5000
La2 0.5000 0.0000 0.5000
Sb1 0.5000 0.5000 0.0000
N1 0.0000 0.0000 0.5000

Computed properties:
N(E_F)	1.576	states/eV/cell
SG	P4/mmm (123)
calculated volume	123	Å³ per cell

Entry two
NaLa2SbN after structural relaxation, computed with PBE.

Lattice parameters (Å, degrees): 5.6561 5.6561 4.9105 90.00 90.00 90.00
Positions (direct):
Na1 0.0000 0.0000 0.0000
La1 0.0000 0.5000 0.0000
La2 0.5000 0.0000 0.0000
Sb1 0.0000 0.0000 0.5000
N1 0.5000 0.5000 0.5000

Computed properties:
N(E_F)	3.898	states/eV/cell
SG	P4/mmm (123)
calculated volume	157	Å³ per cell

Short version: entry one is the most stable of them.